First-principles (PBE with a Hubbard U) data for a relaxed structure of MoAs2BrF, as listed in Alexandria.

Summary:
- Distance to the lowest polymorph of the same formula: 0.000 eV/atom
- Space-group type: P4/mmm

Cell lengths 4.947, 4.947, 5.156 Å; angles 90.00, 90.00, 90.00 degrees
Site moments in Bohr magnetons follow the coordinates.
Positions (direct):
Mo 0.000 0.000 0.000  1.65
As 0.000 0.500 0.000  -0.35
As 0.500 0.000 0.000  -0.35
Br 0.000 0.000 0.500  0.12
F 0.500 0.500 0.500  -0.17